Computed, not measured: a relaxed structure of RbNbBr3 at the GGA-PBE level of DFT.

The offset from the most stable computed form comes out at 493 meV per atom.

POSCAR file:
```
RbNbBr3
1.0
5.090 0.000 0.000
0.000 5.090 0.000
0.000 0.000 7.333
Br Nb Rb
3 1 1
Cartesian
2.545 2.545 0.493
2.545 0.000 5.437
0.000 2.545 5.437
0.000 0.000 6.408
2.545 2.545 3.490
```

---

Computed, not measured: a relaxed structure of NbSBr at the GGA-PBE level of DFT.

The energy comes out at -6.31 eV/atom.

POSCAR file:
```
NbSBr
1.0
0.000 5.182 5.182
5.182 0.000 5.182
5.182 5.182 0.000
Br Nb S
4 4 4
Cartesian
6.518 6.518 9.030
6.518 9.030 6.518
9.030 6.518 6.518
9.030 9.030 9.030
4.135 4.135 6.229
4.135 6.229 4.135
6.229 4.135 4.135
6.229 6.229 6.229
3.844 6.521 6.521
3.844 3.844 3.844
6.521 3.844 6.521
6.521 6.521 3.844
```

---

Computed, not measured: a relaxed structure of NbSBr at the GGA-PBE level of DFT.

The energy comes out at -6.20 eV/atom.

POSCAR file:
```
NbSBr
1.0
-1.568 2.901 -0.963
-8.493 -4.905 -0.946
-2.223 1.994 9.623
Br Nb S
4 4 4
Cartesian
-7.768 -0.983 0.551
-2.961 0.232 2.401
-5.091 2.236 5.777
-8.748 -1.505 6.699
-3.888 0.972 0.014
-7.979 -2.380 2.811
-8.538 -0.108 4.438
-4.164 1.496 8.165
-4.071 -1.378 -0.640
-10.193 -1.414 3.198
-6.324 -1.074 4.051
-3.981 3.846 8.819
```

---

Computed, not measured: a relaxed structure of Nb2Tl5S4Br9 at the GGA-PBE level of DFT.

The energy comes out at -4.02 eV/atom.

POSCAR file:
```
Nb2Tl5S4Br9
1.0
-4.859 5.515 0.570
-7.748 -6.838 0.115
6.786 0.251 7.737
Br Nb S Tl
9 2 4 5
Cartesian
-3.874 -3.419 0.058
-4.331 0.855 2.484
-8.017 -2.398 2.539
-1.024 1.220 3.593
-3.424 3.945 3.875
-2.397 -5.016 4.547
-4.798 -2.292 4.829
2.196 1.326 5.883
-1.490 -1.927 5.938
-2.343 2.684 1.736
-3.478 -3.756 6.686
-2.010 0.753 0.158
-4.364 3.425 0.434
-8.243 -4.748 0.251
-10.597 -2.076 0.527
-6.304 -0.662 0.343
-2.029 -2.066 2.697
-5.401 -5.043 2.747
-0.421 3.971 5.675
-3.792 0.995 5.725
```

---

Computed, not measured: a relaxed structure of NbSeBr3 at the GGA-PBE level of DFT.

The energy comes out at -4.53 eV/atom.

POSCAR file:
```
NbSeBr3
1.0
12.657 0.000 -0.014
0.000 6.992 0.000
-1.045 0.000 6.584
Br Nb Se
12 4 4
Cartesian
0.374 2.201 1.032
6.702 4.791 1.024
9.941 3.957 1.658
3.612 3.035 1.665
6.894 1.422 2.387
0.566 5.570 2.395
11.046 1.422 4.175
4.717 5.570 4.182
7.999 3.957 4.904
1.671 3.035 4.912
11.238 4.791 5.538
4.909 2.201 5.545
8.150 2.516 0.461
1.821 4.476 0.468
3.462 4.476 6.108
9.790 2.516 6.101
3.620 6.362 1.078
9.949 0.630 1.071
7.991 0.630 5.491
1.663 6.362 5.499
```

---

Computed, not measured: a relaxed structure of NbSe2Br2 at the GGA-PBE level of DFT.

The energy comes out at -4.57 eV/atom.

POSCAR file:
```
NbSe2Br2
1.0
6.533 -3.396 0.000
6.533 3.396 0.000
-5.630 0.000 6.674
Br Nb Se
4 2 4
Cartesian
1.648 0.000 1.080
8.282 0.000 1.096
-0.846 0.000 5.578
5.788 0.000 5.594
6.533 -1.513 0.000
6.533 1.513 0.000
5.186 -2.213 2.083
5.186 2.213 2.083
2.249 -2.213 4.591
2.249 2.213 4.591
```

---

Computed, not measured: a relaxed structure of NbSeBr3 at the GGA-PBE level of DFT.

The energy comes out at -4.45 eV/atom.

POSCAR file:
```
NbSeBr3
1.0
6.145 -3.689 0.000
6.145 3.689 0.000
-5.727 0.000 6.527
Br Nb Se
6 2 2
Cartesian
7.655 0.000 1.108
4.668 -1.767 2.015
4.668 1.767 2.015
1.897 -1.767 4.512
1.897 1.767 4.512
-1.090 0.000 5.419
6.145 -2.001 0.000
6.145 2.001 0.000
1.459 0.000 1.085
5.106 0.000 5.442
```

---

Computed, not measured: a relaxed structure of Nb4TeBr3 at the GGA-PBE level of DFT.

The energy comes out at -5.18 eV/atom.

POSCAR file:
```
Nb4TeBr3
1.0
3.768 -3.863 -4.046
2.363 -5.249 3.516
-6.232 2.482 -0.704
Br Nb Te
3 4 1
Cartesian
3.065 -4.556 -0.265
0.301 -2.969 -2.507
-0.402 -3.661 1.274
1.608 -2.390 -0.139
4.523 -6.723 -0.391
-1.232 -0.691 -2.375
-1.935 -1.383 1.406
0.000 0.000 0.000
```

---

Computed, not measured: a relaxed structure of NbTeBr3 at the GGA-PBE level of DFT.

The energy comes out at -4.39 eV/atom.

POSCAR file:
```
NbTeBr3
1.0
-10.998 6.314 -0.777
-3.551 -6.275 -0.731
0.107 -0.840 6.682
Br Nb Te
12 4 4
Cartesian
-8.375 -0.935 0.097
-1.622 -1.875 0.744
-10.754 1.416 0.655
-4.908 -1.128 1.115
-6.921 1.926 1.811
-3.463 -4.837 1.779
-10.978 4.037 3.394
-7.520 -2.726 3.362
-9.533 0.328 4.059
-3.687 -2.216 4.519
-12.819 1.075 4.429
-6.066 0.135 5.076
-8.371 1.812 -0.297
-3.911 -3.182 -0.123
-10.530 2.381 5.296
-6.070 -2.612 5.470
-9.087 4.481 0.573
-6.634 -4.059 0.334
-7.807 3.259 4.839
-5.354 -5.281 4.600
```

---

Computed, not measured: a relaxed structure of NbTeBr9 at the GGA-PBE level of DFT.

The energy comes out at -3.18 eV/atom.

POSCAR file:
```
NbTeBr9
1.0
-3.808 -3.058 4.622
-4.736 -6.584 -8.259
8.254 -5.623 -0.251
Br Nb Te
18 2 2
Cartesian
-4.013 -7.268 -4.073
-5.017 -7.767 -0.429
-6.576 -9.934 -3.148
-3.500 -5.716 2.508
-0.643 -3.115 1.276
-2.091 -5.128 -1.249
2.672 -4.049 0.215
1.169 -6.140 -2.407
0.215 -6.618 1.097
-0.505 -8.647 -4.985
-1.459 -9.125 -1.481
-2.963 -11.216 -4.104
1.800 -10.137 -2.639
0.352 -12.150 -5.165
3.210 -9.549 -6.397
6.285 -5.331 -0.741
4.726 -7.498 -3.459
3.723 -7.997 0.184
0.440 -4.772 -0.504
-0.731 -10.493 -3.384
-6.151 -7.458 -2.695
5.860 -7.807 -1.193
```

---

Computed, not measured: a relaxed structure of Y2NbBr2 at the GGA-PBE level of DFT.

The energy comes out at -5.89 eV/atom.

POSCAR file:
```
Y2NbBr2
1.0
3.748 0.000 0.000
-1.874 3.246 0.000
0.000 0.000 22.332
Br Nb Y
4 2 4
Cartesian
1.874 1.082 4.008
1.874 1.082 7.157
0.000 2.164 15.174
0.000 2.164 18.323
0.000 0.000 0.000
0.000 0.000 11.166
0.000 2.164 2.146
0.000 2.164 9.020
1.874 1.082 13.312
1.874 1.082 20.186
```

---

Computed, not measured: a relaxed structure of NdBr at the GGA-PBE level of DFT.

The energy comes out at -4.17 eV/atom.

POSCAR file:
```
NdBr
1.0
0.000 3.015 3.015
3.015 0.000 3.015
3.015 3.015 0.000
Br Nd
1 1
Cartesian
0.000 0.000 0.000
3.015 3.015 3.015
```